Record 1
{"formula": "SrCd2P", "functional": "PBE", "state": "optimized geometry", "lattice_angstrom": [[3.995, 0.000, 0.000], [0.000, 4.410, 0.000], [0.000, 0.000, 11.806]], "species": ["Sr", "Sr", "Cd", "Cd", "Cd", "Cd", "P", "P"], "fractional_positions": [[0.000, 0.000, 0.000], [0.000, 0.500, 0.500], [0.000, 0.000, 0.715], [0.000, 0.500, 0.215], [0.500, 0.000, 0.312], [0.500, 0.500, 0.812], [0.500, 0.000, 0.552], [0.500, 0.500, 0.052]], "vol_a3_per_cell": 208.02, "m_tot_mub_per_fu": 0.00, "formation_energy_mev_per_atom": -407, "final_energy_ev_per_atom": -2.638}

Record 2
{"formula": "K4Ac3AlO8", "functional": "PBE", "state": "optimized geometry", "lattice_angstrom": [[6.695, -3.597, 0.000], [6.695, 3.597, 0.000], [-3.768, 0.000, 6.448]], "species": ["K", "K", "K", "K", "Ac", "Ac", "Ac", "Al", "O", "O", "O", "O", "O", "O", "O", "O"], "fractional_positions": [[0.000, 0.000, 0.000], [0.000, 0.500, 0.000], [0.500, 0.000, 0.000], [0.500, 0.500, 0.000], [0.000, 0.000, 0.500], [0.000, 0.500, 0.500], [0.500, 0.000, 0.500], [0.500, 0.500, 0.500], [0.216, 0.216, 0.251], [0.216, 0.216, 0.697], [0.281, 0.665, 0.649], [0.335, 0.719, 0.351], [0.665, 0.281, 0.649], [0.719, 0.335, 0.351], [0.784, 0.784, 0.303], [0.784, 0.784, 0.749]], "e_form_raw_mev_per_atom": -2360.7, "vol_a3_per_cell": 310.59, "m_tot_mub_per_fu": 0.00, "final_energy_ev_per_atom": -6.118}

Record 3
{"formula": "Li3Ac2TlAu4", "functional": "PBE", "state": "optimized geometry", "lattice_angstrom": [[4.512, 0.000, 0.000], [0.000, 4.512, 0.000], [0.000, 0.000, 11.336]], "species": ["Li", "Li", "Li", "Ac", "Ac", "Tl", "Au", "Au", "Au", "Au"], "fractional_positions": [[0.000, 0.000, 0.000], [0.000, 0.500, 0.606], [0.500, 0.000, 0.394], [0.000, 0.500, 0.267], [0.500, 0.000, 0.733], [0.500, 0.500, 0.000], [0.000, 0.000, 0.500], [0.000, 0.500, 0.832], [0.500, 0.000, 0.168], [0.500, 0.500, 0.500]], "vol_a3_per_cell": 230.78, "m_tot_mub_per_fu": 0.00, "formation_energy_mev_per_atom": -587, "final_energy_ev_per_atom": -3.530}

Record 4
{"formula": "Zn2W", "functional": "PBE", "state": "optimized geometry", "lattice_angstrom": [[2.801, 0.000, 0.000], [-1.401, 2.426, 0.000], [0.000, 0.000, 6.769]], "species": ["Zn", "Zn", "W"], "fractional_positions": [[0.333, 0.667, 0.335], [0.667, 0.333, 0.665], [0.000, 0.000, 0.000]], "vol_a3_per_cell": 46.00, "m_tot_mub_per_fu": 0.00, "formation_energy_mev_per_atom": 249, "final_energy_ev_per_atom": -4.918}

Record 5
{"formula": "CaZn2In", "functional": "PBE", "state": "optimized geometry", "lattice_angstrom": [[4.508, 0.000, 0.000], [0.000, 5.353, 0.000], [0.000, 0.000, 7.961]], "species": ["Ca", "Ca", "Zn", "Zn", "Zn", "Zn", "In", "In"], "fractional_positions": [[0.000, 0.000, 0.000], [0.000, 0.500, 0.500], [0.000, 0.000, 0.384], [0.000, 0.500, 0.884], [0.500, 0.000, 0.273], [0.500, 0.500, 0.773], [0.500, 0.000, 0.636], [0.500, 0.500, 0.136]], "vol_a3_per_cell": 192.13, "m_tot_mub_per_fu": 0.00, "formation_energy_mev_per_atom": -106, "final_energy_ev_per_atom": -1.928}

Record 6
{"formula": "Ho2CoBi", "functional": "PBE", "state": "optimized geometry", "lattice_angstrom": [[6.207, 0.000, 0.000], [0.000, 4.033, 0.000], [-2.888, 0.000, 7.825]], "species": ["Ho", "Ho", "Ho", "Ho", "Co", "Co", "Bi", "Bi"], "fractional_positions": [[0.157, 0.250, 0.384], [0.238, 0.750, 0.041], [0.762, 0.250, 0.959], [0.843, 0.750, 0.616], [0.119, 0.250, 0.795], [0.881, 0.750, 0.205], [0.379, 0.750, 0.706], [0.621, 0.250, 0.294]], "vol_a3_per_cell": 195.88, "m_tot_mub_per_fu": 0.00, "formation_energy_mev_per_atom": -456, "final_energy_ev_per_atom": -5.492}